(1)
# Pu4Bi3O2 | Alexandria | GGA-PBE | relaxed
# formation energy from raw total energies	-1.3179	eV/atom
# total moment	0.083	μB per atom
data_Pu4Bi3O2
_cell_length_a 13.8836
_cell_length_b 4.0360
_cell_length_c 9.2045
_cell_angle_alpha 90.00
_cell_angle_beta 118.38
_cell_angle_gamma 90.00
_space_group_name_H-M_alt 'C 1 2/m 1'
_space_group_IT_number 12
_space_group_name_Hall '-C 2y'
loop_
_atom_site_label
_atom_site_type_symbol
_atom_site_fract_x
_atom_site_fract_y
_atom_site_fract_z
Pu1 Pu 0.1264 0.0000 0.4148
Pu2 Pu 0.1989 0.5000 0.1245
Bi1 Bi 0.0000 0.0000 0.0000
Bi2 Bi 0.0963 0.5000 0.7032
O1 O 0.1957 0.5000 0.3702

(2)
# TlSb2Mo | Alexandria | GGA-PBE | relaxed
# formation energy from raw total energies	0.5983	eV/atom
# total moment	0.535	μB per atom
# energy above the most stable polymorph in this dataset	198.6	kJ/mol of formula units
data_TlSb2Mo
_cell_length_a 7.2570
_cell_length_b 7.2570
_cell_length_c 7.2570
_cell_angle_alpha 90.00
_cell_angle_beta 90.00
_cell_angle_gamma 90.00
_space_group_name_H-M_alt 'F m -3 m'
_space_group_IT_number 225
_space_group_name_Hall '-F 4 2 3'
loop_
_atom_site_label
_atom_site_type_symbol
_atom_site_fract_x
_atom_site_fract_y
_atom_site_fract_z
Tl1 Tl 0.0000 0.0000 0.0000
Sb1 Sb 0.2500 0.2500 0.2500
Mo1 Mo 0.0000 0.0000 0.5000

(3)
# DyThInAu | Alexandria | GGA-PBE | relaxed
# total moment	0.241	μB per atom
# energy of formation from the pure elements	-0.446	eV/atom
data_DyThInAu
_cell_length_a 7.5206
_cell_length_b 7.5206
_cell_length_c 7.5206
_cell_angle_alpha 90.00
_cell_angle_beta 90.00
_cell_angle_gamma 90.00
_space_group_name_H-M_alt 'F -4 3 m'
_space_group_IT_number 216
_space_group_name_Hall 'F -4 2 3'
loop_
_atom_site_label
_atom_site_type_symbol
_atom_site_fract_x
_atom_site_fract_y
_atom_site_fract_z
Dy1 Dy 0.0000 0.0000 0.0000
Th1 Th 0.0000 0.0000 0.5000
In1 In 0.2500 0.2500 0.7500
Au1 Au 0.2500 0.2500 0.2500